VASP calculation (PBE-GGA) on crystalline BPRhC at its relaxed geometry.

Values from the calculation:
Space-group type ... P3m1 (156)
Formation energy ... 0.06 eV/atom

The structure in POSCAR format:
```
BPRhC
1.0
-1.165 2.526 0.146
-1.608 -2.273 -0.082
0.154 -0.405 8.217
C Rh P B
1 1 1 1
Cartesian
-1.302 0.899 0.618
-1.189 0.601 6.658
-1.369 -0.914 4.868
-1.450 -0.701 0.563
```

=====

VASP calculation (PBE-GGA) on crystalline Er4ThSb5 at its relaxed geometry.

Values from the calculation:
Space-group type ... Immm (71)
Formation energy (no corrections) ... -10.6 eV per formula unit

The structure in POSCAR format:
```
Er4ThSb5
1.0
-3.792 1.999 -0.944
-2.657 -5.528 -1.031
0.305 1.203 11.527
Er Sb Th
4 5 1
Cartesian
-2.329 -0.448 8.406
-4.958 -2.098 5.269
-3.816 -1.879 1.146
-1.187 -0.228 4.283
-2.492 -2.988 3.683
-3.640 -3.209 7.830
-2.504 0.882 1.723
-3.653 0.661 5.869
-1.328 -2.764 -0.515
0.000 0.000 0.000
```

=====

VASP calculation (PBE-GGA) on crystalline Pm3In7Pd4 at its relaxed geometry.

Values from the calculation:
Space-group type ... C2/m (12)
Formation energy ... -0.62 eV/atom

The structure in POSCAR format:
```
Pm3In7Pd4
1.0
4.369 0.000 1.102
1.582 8.079 2.941
0.025 0.115 9.112
In Pd Pm
7 4 3
Cartesian
2.538 1.903 8.359
4.312 3.287 10.539
0.000 0.000 0.000
2.720 6.816 7.640
3.437 6.290 4.796
1.663 4.907 2.616
3.256 1.378 5.515
3.606 3.661 4.127
5.278 7.296 6.707
2.369 4.533 9.028
0.697 0.898 6.448
0.803 4.097 6.026
4.328 6.683 10.475
1.647 1.511 2.680
```

=====

VASP calculation (PBE-GGA) on crystalline NaPuSbO6 at its relaxed geometry.

Values from the calculation:
Space-group type ... P-31c (163)
Formation energy (no corrections) ... -16.9 eV per formula unit

The structure in POSCAR format:
```
NaPuSbO6
1.0
5.502 0.000 0.000
-2.751 4.765 0.000
0.000 0.000 10.308
O Sb Na Pu
12 2 2 2
Cartesian
4.459 1.733 1.483
0.979 1.770 8.826
3.480 0.037 3.671
0.729 4.728 8.826
-0.979 1.770 6.637
2.022 0.037 1.483
1.043 1.733 3.671
3.730 2.995 3.671
-0.729 4.728 6.637
1.772 2.995 1.483
1.708 3.032 6.637
-1.708 3.032 8.826
2.751 1.588 2.577
0.000 3.177 7.731
0.000 0.000 5.154
0.000 0.000 0.000
2.751 1.588 7.731
0.000 3.177 2.577
```

=====

VASP calculation (PBE-GGA) on crystalline TlCr7 at its relaxed geometry.

Values from the calculation:
Space-group type ... Fm-3m (225)
Formation energy ... 0.63 eV/atom

The structure in POSCAR format:
```
TlCr7
1.0
0.146 -0.551 5.251
-2.748 -3.864 2.327
2.525 -4.108 2.155
Cr Tl
7 1
Cartesian
-0.111 -3.986 2.241
0.073 -0.276 2.625
-1.301 -2.208 3.789
1.263 -2.054 1.077
-0.039 -4.262 4.866
-1.374 -1.932 1.163
1.335 -2.330 3.703
0.000 0.000 0.000
```

=====

VASP calculation (PBE-GGA) on crystalline Tl3CrSb at its relaxed geometry.

Values from the calculation:
Space-group type ... Pm-3m (221)
Formation energy (no corrections) ... 2.7 eV per formula unit

The structure in POSCAR format:
```
Tl3CrSb
1.0
-1.037 -4.955 -1.833
1.839 -2.090 4.609
-4.953 0.261 2.095
Cr Tl Sb
1 3 1
Cartesian
0.000 0.000 0.000
-0.518 -2.478 -0.917
-2.477 0.131 1.048
0.920 -1.045 2.304
-2.075 -3.392 2.436
```

=====

Short version: final energy = -7.11, -5.68, -4.49, -7.38, -8.09, -3.63 eV per atom, in the order given.
Short version: M_tot = 0.0, 0.0, 0.0, 4.0, 0.0, 4.7 Bohr magnetons per cell, in the order given.